Computed, not measured: a relaxed structure of SiOsS2Cl at the PBE level of DFT.

Properties
Formation energy from raw total energies   1.108 eV/atom
Energy relative to the lowest polymorph listed for this composition   446.4 meV per atom
Crystal system   tetragonal
Total energy   -21.21 eV/cell
Space-group type   P4/mmm (123)

a b c (Å): 4.574 4.574 4.482
angles (deg): 90.00 90.00 90.00
Sites, in units of the cell vectors:
1 Si 0.000 0.000 0.000
2 Os 0.500 0.500 0.500
3 S 0.000 0.500 0.000
4 S 0.500 0.000 0.000
5 Cl 0.000 0.000 0.500